Entry from Alexandria: a relaxed AlCo2Ni crystal (GGA-PBEsol).

```
AlCo2Ni
1.0
3.6264 0.0000 0.0000
0.0000 3.6264 0.0000
-1.8132 -1.8132 3.3208
Ni Co Al
1 2 1
direct
0.5000 0.5000 0.0000
0.7500 0.2500 0.5000
0.0000 0.0000 0.0000
0.2500 0.7500 0.5000
```

Properties
magnetic moment = 2.60 μB per formula unit
density of states at the Fermi level = 4.05 states/eV/f.u.
formation energy from the elements = -0.28 eV/atom